# CdOs2

An optimized crystal structure of CdOs2 (PBEsol, the Alexandria database).

Cell and atoms, written as CIF:
```
data_CdOs2
_space_group_name_H-M_alt 'I 4/m m m'
_space_group_IT_number 139
_space_group_name_Hall '-I 4 2'
_cell_length_a 2.8017
_cell_length_b 2.8017
_cell_length_c 11.9779
_cell_angle_alpha 90.00
_cell_angle_beta 90.00
_cell_angle_gamma 90.00
loop_
_atom_site_label
_atom_site_fract_x
_atom_site_fract_y
_atom_site_fract_z
Cd1 0.0000 0.0000 0.0000
Os1 0.0000 0.0000 0.3177
```

* theoretical density: 17410 kg/m³
* energy of formation from the pure elements: 0.31 eV/atom
* electronic total energy: -49.37 eV for the cell shown